SrEuInWO6, relaxed, DFT PBE+U; total magnetic moment = 8.000 μB per formula unit; SG = F-43m (216); E_tot = -73.79 eV per cell; ρ = 7.5 g/cm³
1.0
0.000 4.124 4.124
4.124 0.000 4.124
4.124 4.124 0.000
O Sr In Eu W
6 1 1 1 1
Cartesian
4.124 4.124 6.118
4.124 2.129 4.124
4.124 4.124 2.129
2.129 4.124 4.124
4.124 6.118 4.124
6.118 4.124 4.124
2.062 2.062 2.062
0.000 0.000 0.000
6.186 6.186 6.186
4.124 4.124 4.124